Er2TeH2Se | PBE | relaxed

Properties
Electronic total energy (eV/f.u.): -29.90

Cell: 3.8685 3.8685 8.1556 Å, 90.00 90.00 120.00°
Element x y z (fractional)
Te 0.0000 0.0000 0.0000
H 0.6667 0.3333 0.7431
H 0.3333 0.6667 0.2569
Er 0.6667 0.3333 0.2650
Er 0.3333 0.6667 0.7350
Se 0.0000 0.0000 0.5000